No. 1
# meta-GGA SCAN YTa4Zn, single point on PBEsol structure
data_YTa4Zn
_cell_length_a 7.815
_cell_length_b 7.815
_cell_length_c 7.815
_cell_angle_alpha 90.00
_cell_angle_beta 90.00
_cell_angle_gamma 90.00
_space_group_name_H-M_alt 'F -4 3 m'
_space_group_IT_number 216
_space_group_name_Hall 'F -4 2 3'
loop_
_atom_site_label
_atom_site_type_symbol
_atom_site_fract_x
_atom_site_fract_y
_atom_site_fract_z
Y1 Y 0.000 0.000 0.000
Ta1 Ta 0.127 0.127 0.627
Zn1 Zn 0.250 0.250 0.250
# E_form, meV per atom: 372
# M_tot, μB per formula unit: 0.0
# Crystal system: cubic

No. 2
# meta-GGA SCAN Y2TaZn, single point on PBEsol structure
data_Y2TaZn
_cell_length_a 4.752
_cell_length_b 3.242
_cell_length_c 11.716
_cell_angle_alpha 90.00
_cell_angle_beta 90.00
_cell_angle_gamma 90.00
_space_group_name_H-M_alt 'A m m 2'
_space_group_IT_number 38
loop_
_space_group_symop_operation_xyz
'x,y,z'
'-x,-y,z'
'-x,y,z'
'x,-y,z'
'x,y+1/2,z+1/2'
'-x,-y+1/2,z+1/2'
'-x,y+1/2,z+1/2'
'x,-y+1/2,z+1/2'
loop_
_atom_site_label
_atom_site_type_symbol
_atom_site_fract_x
_atom_site_fract_y
_atom_site_fract_z
Y1 Y 0.000 0.000 0.000
Y2 Y 0.500 0.000 0.315
Ta1 Ta 0.000 0.000 0.722
Zn1 Zn 0.500 0.000 0.594
# E_form, meV per atom: 138
# M_tot, μB per formula unit: 0.0
# Crystal system: orthorhombic